5
Lattice="6.333 0.000 0.000 0.000 6.333 0.000 0.000 0.000 5.002" Properties=species:S:1:pos:R:3 comment="Na2HfTeBr, optimized geometry, DFT PBE" space_group="No. 123" pbc="T T T"
Na 0.000 3.166 0.000
Na 3.166 0.000 0.000
Hf 0.000 0.000 0.000
Te 3.166 3.166 2.501
Br 0.000 0.000 2.501

12
Lattice="6.163 0.000 0.000 -0.258 7.042 0.000 -0.017 -0.002 9.490" Properties=species:S:1:pos:R:3 comment="Na2HfTlBr8, optimized geometry, DFT PBE" space_group="No. 2" pbc="T T T"
Na -0.259 7.042 2.586
Na 6.147 -0.001 6.904
Hf 2.944 3.520 4.745
Tl 2.952 3.521 0.000
Br 1.558 0.148 0.000
Br 1.435 4.509 2.848
Br 1.559 1.281 4.750
Br 1.435 4.517 6.637
Br 4.453 2.523 2.852
Br 4.329 5.759 4.740
Br 4.453 2.531 6.642
Br 4.330 6.892 9.489

8
Lattice="3.345 0.000 0.000 -0.247 5.880 0.000 -0.725 -2.279 9.906" Properties=species:S:1:pos:R:3 comment="HfNbBr2, optimized geometry, DFT PBE" space_group="No. 2" pbc="T T T"
Hf 0.479 2.249 1.164
Hf 1.894 1.352 8.742
Nb 0.501 -1.605 8.760
Nb 1.872 5.206 1.146
Br 0.275 4.227 3.024
Br 0.242 2.341 6.831
Br 2.130 1.260 3.075
Br 2.098 -0.626 6.881

8
Lattice="3.340 0.000 0.000 0.028 5.199 0.000 1.532 0.088 11.209" Properties=species:S:1:pos:R:3 comment="HfNbBr2, optimized geometry, DFT PBE" space_group="No. 2" pbc="T T T"
Hf 0.783 1.261 3.625
Hf 4.118 4.025 7.584
Nb 2.093 1.453 6.183
Nb 2.807 3.834 5.026
Br 1.050 3.868 2.895
Br 2.388 4.015 9.757
Br 2.512 1.272 1.452
Br 3.850 1.418 8.314

8
Lattice="3.407 0.000 0.000 -1.696 5.887 0.000 -0.829 -1.735 10.363" Properties=species:S:1:pos:R:3 comment="HfNbBr2, optimized geometry, DFT PBE" space_group="No. 1" pbc="T T T"
Hf 0.000 0.000 0.000
Hf 0.001 0.899 3.339
Nb 0.005 4.225 1.931
Nb 1.705 2.049 1.231
Br -1.698 4.258 4.032
Br -0.827 1.146 9.751
Br -0.821 4.111 8.205
Br 1.704 1.191 5.438

4
Lattice="0.000 3.377 3.377 3.377 0.000 3.377 3.377 3.377 0.000" Properties=species:S:1:pos:R:3 comment="HfNbBr2, optimized geometry, DFT PBE" space_group="No. 225" pbc="T T T"
Hf 0.000 0.000 0.000
Nb 3.377 3.377 3.377
Br 1.689 1.689 1.689
Br 5.066 5.066 5.066

5
Lattice="4.752 0.000 0.000 0.000 4.752 0.000 0.000 0.000 4.752" Properties=species:S:1:pos:R:3 comment="HfNb3Br, optimized geometry, DFT PBE" space_group="No. 221" pbc="T T T"
Hf 0.000 0.000 0.000
Nb 0.000 2.376 2.376
Nb 2.376 0.000 2.376
Nb 2.376 2.376 0.000
Br 2.376 2.376 2.376

4
Lattice="3.825 0.000 0.000 0.000 3.322 0.000 -1.797 0.000 8.068" Properties=species:S:1:pos:R:3 comment="HfNbBr2, optimized geometry, DFT PBE" space_group="No. 6" pbc="T T T"
Hf 0.000 0.000 0.000
Nb 1.874 1.661 1.456
Br -0.037 1.661 6.613
Br 1.891 0.000 3.541

no.,spin magnetization (μB/cell),raw total energy (eV per atom),formation energy (no corrections) (eV/atom)
1,1.03,-3.13,0.35
2,0.20,-3.57,-1.20
3,0.00,-6.50,-0.65
4,0.00,-6.47,-0.62
5,0.00,-6.39,-0.55
6,2.18,-5.44,0.41
7,0.00,-7.48,0.88
8,0.00,-6.15,-0.31